Cr3Fe5H12 PBE optimized geometry; ρ = 5.576 g/cm³
1.0
-6.0083 -0.1119 -6.4910
7.6278 -3.3395 -2.9848
-2.8993 -4.8775 6.7859
Cr Fe H
12 20 48
direct
0.7500 0.3750 0.1250 Cr
0.8750 0.7500 0.1250 Cr
0.3750 0.7500 0.6250 Cr
0.2500 0.1250 0.3750 Cr
0.8750 0.1250 0.2500 Cr
0.3750 0.6250 0.2500 Cr
0.6250 0.3750 0.7500 Cr
0.1250 0.8750 0.7500 Cr
0.7500 0.8750 0.6250 Cr
0.6250 0.2500 0.3750 Cr
0.1250 0.2500 0.8750 Cr
0.2500 0.6250 0.8750 Cr
0.1250 0.3750 0.2500 Fe
0.0000 0.5000 0.0000 Fe
0.0000 0.0000 0.0000 Fe
0.3750 0.2500 0.1250 Fe
0.5000 0.0000 0.5000 Fe
0.5000 0.5000 0.0000 Fe
0.1250 0.7500 0.3750 Fe
0.7500 0.1250 0.8750 Fe
0.7500 0.6250 0.3750 Fe
0.3750 0.1250 0.7500 Fe
0.6250 0.8750 0.2500 Fe
0.5000 0.5000 0.5000 Fe
0.5000 0.0000 0.0000 Fe
0.0000 0.0000 0.5000 Fe
0.2500 0.3750 0.6250 Fe
0.2500 0.8750 0.1250 Fe
0.0000 0.5000 0.5000 Fe
0.8750 0.2500 0.6250 Fe
0.6250 0.7500 0.8750 Fe
0.8750 0.6250 0.7500 Fe
0.7199 0.1406 0.0573 H
0.3373 0.5573 0.4167 H
0.9427 0.3594 0.2801 H
0.5573 0.2199 0.1406 H
0.5794 0.7199 0.6627 H
0.9427 0.5833 0.1627 H
0.3373 0.7801 0.4206 H
0.0833 0.9206 0.1406 H
0.5833 0.9427 0.6627 H
0.7199 0.5794 0.1627 H
0.7801 0.4427 0.3594 H
0.8373 0.9167 0.0573 H
0.1406 0.7199 0.5573 H
0.3594 0.4167 0.0794 H
0.0794 0.9167 0.3594 H
0.4206 0.1406 0.5833 H
0.0794 0.1627 0.2199 H
0.4427 0.6627 0.0833 H
0.8373 0.9206 0.2801 H
0.1406 0.4206 0.0833 H
0.3594 0.9427 0.7801 H
0.5833 0.6406 0.4206 H
0.9167 0.8373 0.5573 H
0.7801 0.3373 0.9206 H
0.4167 0.3594 0.5794 H
0.0833 0.1627 0.4427 H
0.2199 0.6627 0.0794 H
0.1627 0.0794 0.7199 H
0.6406 0.0573 0.2199 H
0.8594 0.5794 0.9167 H
0.5573 0.3373 0.9167 H
0.5794 0.8594 0.4167 H
0.9206 0.8373 0.7801 H
0.9206 0.0833 0.6406 H
0.8594 0.2801 0.4427 H
0.1627 0.0833 0.9427 H
0.6406 0.5833 0.9206 H
0.4167 0.0573 0.3373 H
0.2801 0.4206 0.8373 H
0.2199 0.5573 0.6406 H
0.9167 0.0794 0.8594 H
0.6627 0.2199 0.5794 H
0.4427 0.7801 0.8594 H
0.0573 0.4167 0.8373 H
0.4206 0.2801 0.3373 H
0.0573 0.6406 0.7199 H
0.6627 0.4427 0.5833 H
0.2801 0.8594 0.9427 H

---

CrFeH4 PBE optimized geometry; ρ = 5.381 g/cm³
1.0
2.7665 0.0000 0.8135
1.2969 2.4756 0.7005
0.0110 0.2279 5.0736
Cr Fe H
1 1 4
direct
0.5000 0.5000 0.5000 Cr
0.0000 0.0000 0.0000 Fe
0.6259 0.6262 0.1219 H
0.3741 0.3738 0.8781 H
0.1210 0.1219 0.6361 H
0.8790 0.8781 0.3639 H

---

Cr2FeH PBE optimized geometry; ρ = 7.363 g/cm³; energy relative to the lowest polymorph listed for this composition = 0.00 eV per formula unit
1.0
-2.2608 -0.2682 -1.1358
0.8297 -2.1108 -1.1531
-1.8078 -3.0726 4.3239
Cr Fe H
2 1 1
direct
0.0000 0.0000 0.7988 Cr
0.0000 0.0000 0.2012 Cr
0.5000 0.5000 0.5000 Fe
0.5000 0.5000 0.0000 H

---

CrFeH2 PBE optimized geometry; ρ = 6.394 g/cm³; energy relative to the lowest polymorph listed for this composition = 1.07 eV per formula unit
1.0
2.6558 0.0000 0.0000
1.3279 2.3000 0.0000
1.3279 0.7667 4.6709
Cr Fe H
1 1 2
direct
0.0000 0.0000 0.0000 Cr
0.5000 0.5000 0.5000 Fe
0.1203 0.1203 0.6390 H
0.8797 0.8797 0.3610 H

---

The calculation returns the following total energy values, one per record and in order: -5.4739; -5.1938; -7.4683; -5.9743 eV per atom.